This record from Alexandria via LeMat-Bulk describes an optimized crystal structure of FeSnO. The functional is PBE+U.

Properties
* space group: Pnma (62)
* raw total energy: -65.8 eV/cell
* volume: 17.94 Å³ per atom
* total magnetic moment: 3.88 μB/f.u.

Cell: 3.3324 5.3666 12.0389 Å, 90.00 90.00 90.00°
Site moments in Bohr magnetons follow the coordinates.
Fractional positions:
O1 0.7500 0.5530 0.7105  0.08
O2 0.2500 0.0530 0.7895  0.08
O3 0.7500 0.9470 0.2105  0.08
O4 0.2500 0.4470 0.2895  0.08
Fe1 0.7500 0.1783 0.7043  3.72
Fe2 0.7500 0.3217 0.2043  3.72
Fe3 0.2500 0.8217 0.2957  3.72
Fe4 0.2500 0.6783 0.7957  3.72
Sn1 0.7500 0.7570 0.0388  -0.01
Sn2 0.2500 0.2570 0.4612  -0.01
Sn3 0.7500 0.7430 0.5388  -0.01
Sn4 0.2500 0.2430 0.9612  -0.01